First-principles (PBE-GGA) data for an optimized crystal structure of MgRe2As, as listed in the Alexandria database.

Values from the calculation:
ΔE_f: 0.42 eV/atom
symmetry: P2/m
uncorrected energy: -7.37 eV/atom

Cell: 4.576 2.844 4.930 Å, 87.13 90.00 90.00°
Positions (direct):
As: 0.500 0.250 0.250
Mg: 0.500 0.750 0.750
Re: 0.000 0.082 0.991
Re: 0.000 0.418 0.509